Density functional theory data (GGA-PBE) for a geometry-optimized RbCaGa2 structure.

Cell and atoms, written as POSCAR:
```
RbCaGa2
1.0
8.9467 0.0000 0.0000
0.0000 8.9467 0.0000
4.4733 4.4733 3.4412
Ca Ga Rb
2 4 2
Direct
0.5000 0.5000 0.0000
0.2500 0.7500 0.5000
0.5907 0.1250 0.2500
0.1593 0.6250 0.2500
0.3750 0.4093 0.7500
0.8750 0.8407 0.7500
0.0000 0.0000 0.0000
0.7500 0.2500 0.5000
```

Output
**Space group**: I-42d (122)
**Calculated total energy**: -1.988 eV/atom
**Distance to the lowest polymorph of the same formula**: 18.9 kJ/mol of atoms
**Energy of formation from the pure elements**: 0.2677 eV per atom